# CoRe2Ni | the Alexandria database | GGA-PBE | optimized geometry
data_CoRe2Ni
_chemical_formula_sum 'Co2 Re4 Ni2'
_space_group_name_H-M_alt 'C 1 m 1'
_space_group_IT_number 8
_cell_length_a 8.691
_cell_length_b 2.616
_cell_length_c 4.597
_cell_angle_alpha 90.00
_cell_angle_beta 98.56
_cell_angle_gamma 90.00
loop_
_space_group_symop_operation_xyz
'x,y,z'
'x,-y,z'
'x+1/2,y+1/2,z'
'x+1/2,-y+1/2,z'
loop_
_atom_site_label
_atom_site_type_symbol
_atom_site_fract_x
_atom_site_fract_y
_atom_site_fract_z
Co1 Co 0.000 0.000 0.000
Re1 Re 0.240 0.500 0.235
Re2 Re 0.498 0.000 0.518
Ni1 Ni 0.244 0.000 0.756
# E: -9.398 eV/atom

# NbSe3Cl | the Alexandria database | GGA-PBE | optimized geometry
data_NbSe3Cl
_chemical_formula_sum 'Nb1 Se3 Cl1'
_space_group_name_H-M_alt 'P m -3 m'
_space_group_IT_number 221
_space_group_name_Hall '-P 4 2 3'
_cell_length_a 4.872
_cell_length_b 4.872
_cell_length_c 4.872
_cell_angle_alpha 90.00
_cell_angle_beta 90.00
_cell_angle_gamma 90.00
loop_
_atom_site_label
_atom_site_type_symbol
_atom_site_fract_x
_atom_site_fract_y
_atom_site_fract_z
Nb1 Nb 0.000 0.000 0.000
Se1 Se 0.000 0.500 0.500
Cl1 Cl 0.500 0.500 0.500
# ΔE_f (raw): 5.0 eV/f.u.

# NiMo2AuN | the Alexandria database | GGA-PBE | optimized geometry
data_NiMo2AuN
_chemical_formula_sum 'Ni1 Mo2 Au1 N1'
_space_group_name_H-M_alt 'P 4/m m m'
_space_group_IT_number 123
_space_group_name_Hall '-P 4 2'
_cell_length_a 4.105
_cell_length_b 4.105
_cell_length_c 3.967
_cell_angle_alpha 90.00
_cell_angle_beta 90.00
_cell_angle_gamma 90.00
loop_
_atom_site_label
_atom_site_type_symbol
_atom_site_fract_x
_atom_site_fract_y
_atom_site_fract_z
Ni1 Ni 0.000 0.000 0.000
Mo1 Mo 0.000 0.500 0.500
Au1 Au 0.500 0.500 0.000
N1 N 0.000 0.000 0.500
# ΔE_f (raw): -0.2 eV/f.u.